NbAlPt: relaxed, GGA-PBE.

a b c (Å): 4.4144 4.4144 2.8620
angles (deg): 90.00 90.00 120.00
Closest atoms and distances in Å follow each position.
Space group P-6m2 (No. 187)
One atom of each set of equivalent atoms:
Nb 0.0000 0.0000 0.0000 (multiplicity 1)  2 Nb 2.86, 6 Pt 2.92, 6 Al 2.92
Al 0.3333 0.6667 0.5000 (multiplicity 1)  3 Pt 2.55
Pt 0.6667 0.3333 0.5000 (multiplicity 1)  3 Al 2.55

Computed properties:
total energy	-7.265	eV per atom
DOS(E_F)	2.525	states/eV per cell

***

Nb2AlPt: relaxed, GGA-PBE.

a b c (Å): 2.8620 2.8620 29.9637
angles (deg): 90.00 90.00 120.00
Closest atoms and distances in Å follow each position.
Space group R-3m (No. 166, hexagonal axes)
One atom of each set of equivalent atoms:
Nb 0.0000 0.0000 0.0873 (multiplicity 6)  1 Pt 2.62, 6 Nb 2.86, 3 Al 2.90
Al 0.0000 0.0000 0.5000 (multiplicity 3)  6 Al 2.86, 6 Nb 2.90
Pt 0.0000 0.0000 0.0000 (multiplicity 3)  2 Nb 2.62, 6 Pt 2.86

Computed properties:
total energy	-7.368	eV per atom
DOS(E_F)	13.319	states/eV per cell

***

NbAl2Pt9: relaxed, GGA-PBE.

a b c (Å): 3.9556 3.9556 11.8208
angles (deg): 90.00 90.00 90.00
Closest atoms and distances in Å follow each position.
Space group P4/mmm (No. 123)
One atom of each set of equivalent atoms:
Nb 0.0000 0.0000 0.0000 (multiplicity 1)  12 Pt 2.80
Al 0.0000 0.0000 0.3420 (multiplicity 2)  12 Pt 2.72-2.86
Pt 0.0000 0.5000 0.1673 (multiplicity 4)  8 Pt 2.79-2.80, 2 Nb 2.80, 2 Al 2.86
Pt 0.0000 0.5000 0.5000 (multiplicity 2)  4 Al 2.72, 8 Pt 2.78-2.80
Pt 0.5000 0.5000 0.0000 (multiplicity 1)  8 Pt 2.80, 4 Nb 2.80
Pt 0.5000 0.5000 0.3342 (multiplicity 2)  8 Pt 2.78-2.79, 4 Al 2.80

Computed properties:
total energy	-6.705	eV per atom
DOS(E_F)	5.162	states/eV per cell

***

NbAl3Pt: relaxed, GGA-PBE.

a b c (Å): 4.6835 4.6835 4.6835
angles (deg): 90.00 90.00 90.00
Closest atoms and distances in Å follow each position.
Space group Pm-3m (No. 221)
One atom of each set of equivalent atoms:
Nb 0.0000 0.0000 0.0000 (multiplicity 1)  12 Al 3.31
Al 0.0000 0.5000 0.5000 (multiplicity 3)  2 Pt 2.34
Pt 0.5000 0.5000 0.5000 (multiplicity 1)  6 Al 2.34

Computed properties:
offset from the most stable computed form	0	meV per atom
DOS(E_F)	4.492	states/eV per cell

***

Nb2Al2Pt: relaxed, GGA-PBE.

a b c (Å): 6.3606 6.3606 4.1302
angles (deg): 90.00 90.00 90.00
Closest atoms and distances in Å follow each position.
Space group P4/mbm (No. 127)
One atom of each set of equivalent atoms:
Nb 0.1580 0.3420 0.0000 (multiplicity 4)  6 Al 2.75-2.81, 1 Nb 2.84
Al 0.1409 0.6409 0.5000 (multiplicity 4)  2 Pt 2.45, 1 Al 2.53, 2 Nb 2.75
Pt 0.0000 0.0000 0.5000 (multiplicity 2)  4 Al 2.45

Computed properties:
total energy	-7.217	eV per atom
DOS(E_F)	6.971	states/eV per cell

***

Nb2AlPt9: relaxed, GGA-PBE.

a b c (Å): 3.9793 3.9793 11.9338
angles (deg): 90.00 90.00 90.00
Closest atoms and distances in Å follow each position.
Space group P4/mmm (No. 123)
One atom of each set of equivalent atoms:
Nb 0.0000 0.0000 0.1718 (multiplicity 2)  12 Pt 2.77-2.86
Al 0.0000 0.0000 0.5000 (multiplicity 1)  12 Pt 2.81
Pt 0.0000 0.5000 0.0000 (multiplicity 2)  8 Pt 2.81-2.82, 4 Nb 2.86
Pt 0.0000 0.5000 0.3336 (multiplicity 4)  2 Nb 2.77, 2 Al 2.81, 8 Pt 2.81
Pt 0.5000 0.5000 0.1672 (multiplicity 2)  8 Pt 2.81-2.82, 4 Nb 2.81
Pt 0.5000 0.5000 0.5000 (multiplicity 1)  8 Pt 2.81, 4 Al 2.81

Computed properties:
total energy	-7.162	eV per atom
DOS(E_F)	7.403	states/eV per cell

***

NbAlPt5: relaxed, GGA-PBE.

a b c (Å): 4.0336 4.0336 6.9790
angles (deg): 90.00 90.00 90.00
Closest atoms and distances in Å follow each position.
Space group P4/mmm (No. 123)
One atom of each set of equivalent atoms:
Nb 0.0000 0.0000 0.0000 (multiplicity 1)  12 Pt 2.80-2.85
Al 0.5000 0.5000 0.5000 (multiplicity 1)  8 Pt 2.54
Pt 0.0000 0.5000 0.2792 (multiplicity 4)  2 Al 2.54, 2 Nb 2.80, 2 Pt 2.80
Pt 0.5000 0.5000 0.0000 (multiplicity 1)  8 Pt 2.80, 4 Nb 2.85

Computed properties:
total energy	-7.026	eV per atom
DOS(E_F)	1.867	states/eV per cell

***

Nb4Al2Pt: relaxed, GGA-PBE.

a b c (Å): 4.9446 4.9446 12.8623
angles (deg): 90.00 90.00 90.00
Closest atoms and distances in Å follow each position.
Space group I4/mmm (No. 139)
One atom of each set of equivalent atoms:
Nb 0.0000 0.0000 0.1939 (multiplicity 4)  1 Pt 2.49, 1 Al 2.60
Nb 0.0000 0.5000 0.0000 (multiplicity 4)  2 Pt 2.47
Al 0.0000 0.0000 0.3961 (multiplicity 4)  5 Nb 2.60-2.81, 1 Al 2.67
Pt 0.0000 0.0000 0.0000 (multiplicity 2)  6 Nb 2.47-2.49

Computed properties:
total energy	-6.739	eV per atom
DOS(E_F)	18.754	states/eV per cell

***

| no. | total moment (μB/cell) |
| --- | --- |
| 1 | 0.000 |
| 2 | 0.000 |
| 3 | 0.000 |
| 4 | 2.342 |
| 5 | 0.000 |
| 6 | 0.000 |
| 7 | 0.000 |
| 8 | 0.003 |